(1)
An optimized crystal structure of BaSr4Bi4, computed with PBE.

CIF file:
```
data_BaSr4Bi4
_space_group_name_H-M_alt 'P 42/n'
_space_group_IT_number 86
_cell_length_a 11.070
_cell_length_b 11.070
_cell_length_c 6.798
_cell_angle_alpha 90.00
_cell_angle_beta 90.00
_cell_angle_gamma 90.00
loop_
_space_group_symop_operation_xyz
'x,y,z'
'-x,-y,-z'
'-y,x+1/2,z+1/2'
'y,-x+1/2,-z+1/2'
'-x+1/2,-y+1/2,z'
'x+1/2,y+1/2,-z'
'y+1/2,-x,z+1/2'
'-y+1/2,x,-z+1/2'
loop_
_atom_site_label
_atom_site_type_symbol
_atom_site_fract_x
_atom_site_fract_y
_atom_site_fract_z
_atom_site_occupancy
Ba1 Ba 0.250 0.250 0.250 1
Sr1 Sr 0.089 0.643 0.174 1
Bi1 Bi 0.045 0.617 0.672 1
```

Output
Fermi-level density of states = 14.80 states/eV/cell
E_tot = -30.6 eV per formula unit
Total moment = 1.3 μB per formula unit

(2)
An optimized crystal structure of HoZrCu4, computed with PBE.

CIF file:
```
data_HoZrCu4
_space_group_name_H-M_alt 'P m m m'
_space_group_IT_number 47
_space_group_name_Hall '-P 2 2'
_cell_length_a 3.184
_cell_length_b 4.294
_cell_length_c 7.362
_cell_angle_alpha 90.00
_cell_angle_beta 90.00
_cell_angle_gamma 90.00
loop_
_atom_site_label
_atom_site_type_symbol
_atom_site_fract_x
_atom_site_fract_y
_atom_site_fract_z
_atom_site_occupancy
Ho1 Ho 0.000 0.000 0.000 1
Zr1 Zr 0.000 0.500 0.500 1
Cu1 Cu 0.500 0.000 0.337 1
Cu2 Cu 0.500 0.500 0.171 1
```

Output
Fermi-level density of states = 4.01 states/eV/cell
Total moment = 0.0 μB per formula unit
Energy above the most stable polymorph in this dataset = 0.0 meV/atom

(3)
An optimized crystal structure of BaCeNi2P2, computed with PBE.

CIF file:
```
data_BaCeNi2P2
_space_group_name_H-M_alt 'P -3 m 1'
_space_group_IT_number 164
_space_group_name_Hall '-P 3 2"'
_cell_length_a 4.0135
_cell_length_b 4.0135
_cell_length_c 8.5760
_cell_angle_alpha 90.00
_cell_angle_beta 90.00
_cell_angle_gamma 120.00
loop_
_atom_site_label
_atom_site_type_symbol
_atom_site_fract_x
_atom_site_fract_y
_atom_site_fract_z
_atom_site_occupancy
Ba1 Ba 0.0000 0.0000 0.0000 1
Ce1 Ce 0.0000 0.0000 0.5000 1
Ni1 Ni 0.3333 0.6667 0.7161 1
P1 P 0.3333 0.6667 0.2815 1
```

Output
Fermi-level density of states = 3.57 states/eV/cell
E_tot = -36.2 eV per formula unit
Total moment = 0.1 μB per formula unit

(4)
An optimized crystal structure of PtPbCl3, computed with PBE.

CIF file:
```
data_PtPbCl3
_space_group_name_H-M_alt 'P m -3 m'
_space_group_IT_number 221
_space_group_name_Hall '-P 4 2 3'
_cell_length_a 4.964
_cell_length_b 4.964
_cell_length_c 4.964
_cell_angle_alpha 90.00
_cell_angle_beta 90.00
_cell_angle_gamma 90.00
loop_
_atom_site_label
_atom_site_type_symbol
_atom_site_fract_x
_atom_site_fract_y
_atom_site_fract_z
_atom_site_occupancy
Pt1 Pt 0.000 0.000 0.000 1
Pb1 Pb 0.500 0.500 0.500 1
Cl1 Cl 0.000 0.000 0.500 1
```

Output
Fermi-level density of states = 3.01 states/eV/cell
Formation energy without anion corrections = -295 meV/atom
Total moment = 0.0 μB per formula unit
Energy above the most stable polymorph in this dataset = 0.0 meV/atom

(5)
An optimized crystal structure of V2In2Sn, computed with PBE.

CIF file:
```
data_V2In2Sn
_space_group_name_H-M_alt 'P 4/m b m'
_space_group_IT_number 127
_space_group_name_Hall '-P 4 2ab'
_cell_length_a 6.844
_cell_length_b 6.844
_cell_length_c 4.224
_cell_angle_alpha 90.00
_cell_angle_beta 90.00
_cell_angle_gamma 90.00
loop_
_atom_site_label
_atom_site_type_symbol
_atom_site_fract_x
_atom_site_fract_y
_atom_site_fract_z
_atom_site_occupancy
V1 V 0.124 0.376 0.000 1
In1 In 0.167 0.667 0.500 1
Sn1 Sn 0.000 0.000 0.000 1
```

Output
Fermi-level density of states = 7.70 states/eV/cell
E_tot = -26.8 eV per formula unit
Total moment = 0.0 μB per formula unit

(6)
An optimized crystal structure of NbAlTc3, computed with PBE.

CIF file:
```
data_NbAlTc3
_space_group_name_H-M_alt 'P m -3 m'
_space_group_IT_number 221
_space_group_name_Hall '-P 4 2 3'
_cell_length_a 4.713
_cell_length_b 4.713
_cell_length_c 4.713
_cell_angle_alpha 90.00
_cell_angle_beta 90.00
_cell_angle_gamma 90.00
loop_
_atom_site_label
_atom_site_type_symbol
_atom_site_fract_x
_atom_site_fract_y
_atom_site_fract_z
_atom_site_occupancy
Nb1 Nb 0.000 0.000 0.000 1
Al1 Al 0.500 0.500 0.500 1
Tc1 Tc 0.000 0.000 0.500 1
```

Output
Fermi-level density of states = 6.10 states/eV/cell
Total moment = 2.5 μB per formula unit
Energy above the most stable polymorph in this dataset = 615.9 meV/atom

(7)
An optimized crystal structure of SrZnP, computed with PBE.

CIF file:
```
data_SrZnP
_space_group_name_H-M_alt 'P -6 m 2'
_space_group_IT_number 187
_space_group_name_Hall 'P -6 2'
_cell_length_a 4.1455
_cell_length_b 4.1455
_cell_length_c 4.5462
_cell_angle_alpha 90.00
_cell_angle_beta 90.00
_cell_angle_gamma 120.00
loop_
_atom_site_label
_atom_site_type_symbol
_atom_site_fract_x
_atom_site_fract_y
_atom_site_fract_z
_atom_site_occupancy
Sr1 Sr 0.0000 0.0000 0.0000 1
Zn1 Zn 0.3333 0.6667 0.5000 1
P1 P 0.6667 0.3333 0.5000 1
```

Output
Fermi-level density of states = 1.44 states/eV/cell
E_tot = -10.4 eV per formula unit
Total moment = 0.0 μB per formula unit

(8)
An optimized crystal structure of MgFe4W, computed with PBE.

CIF file:
```
data_MgFe4W
_space_group_name_H-M_alt 'F -4 3 m'
_space_group_IT_number 216
_space_group_name_Hall 'F -4 2 3'
_cell_length_a 6.744
_cell_length_b 6.744
_cell_length_c 6.744
_cell_angle_alpha 90.00
_cell_angle_beta 90.00
_cell_angle_gamma 90.00
loop_
_atom_site_label
_atom_site_type_symbol
_atom_site_fract_x
_atom_site_fract_y
_atom_site_fract_z
_atom_site_occupancy
Mg1 Mg 0.000 0.000 0.000 1
Fe1 Fe 0.125 0.125 0.375 1
W1 W 0.250 0.250 0.750 1
```

Output
Fermi-level density of states = 17.61 states/eV/cell
E_tot = -48.1 eV per formula unit
Total moment = 6.3 μB per formula unit

(9)
An optimized crystal structure of PuTiRh2, computed with PBE.

CIF file:
```
data_PuTiRh2
_space_group_name_H-M_alt 'P 4/m m m'
_space_group_IT_number 123
_space_group_name_Hall '-P 4 2'
_cell_length_a 3.087
_cell_length_b 3.087
_cell_length_c 7.301
_cell_angle_alpha 90.00
_cell_angle_beta 90.00
_cell_angle_gamma 90.00
loop_
_atom_site_label
_atom_site_type_symbol
_atom_site_fract_x
_atom_site_fract_y
_atom_site_fract_z
_atom_site_occupancy
Pu1 Pu 0.000 0.000 0.000 1
Ti1 Ti 0.000 0.000 0.500 1
Rh1 Rh 0.500 0.500 0.296 1
```

Output
Fermi-level density of states = 9.11 states/eV/cell
Total moment = 5.4 μB per formula unit
Energy above the most stable polymorph in this dataset = 0.0 meV/atom

(10)
An optimized crystal structure of ZrSi, computed with PBE.

CIF file:
```
data_ZrSi
_space_group_name_H-M_alt 'F d d d'
_space_group_IT_number 70
_cell_length_a 6.636
_cell_length_b 8.371
_cell_length_c 10.950
_cell_angle_alpha 90.00
_cell_angle_beta 90.00
_cell_angle_gamma 90.00
loop_
_space_group_symop_operation_xyz
'x,y,z'
'-x,-y,-z'
'-x+1/4,-y+1/4,z'
'x+1/4,y+1/4,-z'
'x,-y+1/4,-z+1/4'
'-x,y+1/4,z+1/4'
'-x+1/4,y,-z+1/4'
'x+1/4,-y,z+1/4'
'x,y+1/2,z+1/2'
'-x,-y+1/2,-z+1/2'
'-x+1/4,-y+3/4,z+1/2'
'x+1/4,y+3/4,-z+1/2'
'x,-y+3/4,-z+3/4'
'-x,y+3/4,z+3/4'
'-x+1/4,y+1/2,-z+3/4'
'x+1/4,-y+1/2,z+3/4'
'x+1/2,y,z+1/2'
'-x+1/2,-y,-z+1/2'
'-x+3/4,-y+1/4,z+1/2'
'x+3/4,y+1/4,-z+1/2'
'x+1/2,-y+1/4,-z+3/4'
'-x+1/2,y+1/4,z+3/4'
'-x+3/4,y,-z+3/4'
'x+3/4,-y,z+3/4'
'x+1/2,y+1/2,z'
'-x+1/2,-y+1/2,-z'
'-x+3/4,-y+3/4,z'
'x+3/4,y+3/4,-z'
'x+1/2,-y+3/4,-z+1/4'
'-x+1/2,y+3/4,z+1/4'
'-x+3/4,y+1/2,-z+1/4'
'x+3/4,-y+1/2,z+1/4'
loop_
_atom_site_label
_atom_site_type_symbol
_atom_site_fract_x
_atom_site_fract_y
_atom_site_fract_z
_atom_site_occupancy
Zr1 Zr 0.125 0.332 0.125 1
Si1 Si 0.063 0.375 0.875 1
```

Output
Fermi-level density of states = 13.68 states/eV/cell
Formation energy without anion corrections = -661 meV/atom
Total moment = 0.0 μB per formula unit

(11)
An optimized crystal structure of RbFeRuAu2, computed with PBE.

CIF file:
```
data_RbFeRuAu2
_space_group_name_H-M_alt 'P 4/m m m'
_space_group_IT_number 123
_space_group_name_Hall '-P 4 2'
_cell_length_a 5.276
_cell_length_b 5.276
_cell_length_c 4.660
_cell_angle_alpha 90.00
_cell_angle_beta 90.00
_cell_angle_gamma 90.00
loop_
_atom_site_label
_atom_site_type_symbol
_atom_site_fract_x
_atom_site_fract_y
_atom_site_fract_z
_atom_site_occupancy
Rb1 Rb 0.000 0.000 0.000 1
Fe1 Fe 0.500 0.500 0.000 1
Ru1 Ru 0.500 0.500 0.500 1
Au1 Au 0.000 0.500 0.500 1
```

Output
Fermi-level density of states = 4.44 states/eV/cell
E_tot = -21.9 eV per formula unit
Total moment = 5.0 μB per formula unit

(12)
An optimized crystal structure of LaPm3As4, computed with PBE.

CIF file:
```
data_LaPm3As4
_space_group_name_H-M_alt 'P m -3 m'
_space_group_IT_number 221
_space_group_name_Hall '-P 4 2 3'
_cell_length_a 6.043
_cell_length_b 6.043
_cell_length_c 6.043
_cell_angle_alpha 90.00
_cell_angle_beta 90.00
_cell_angle_gamma 90.00
loop_
_atom_site_label
_atom_site_type_symbol
_atom_site_fract_x
_atom_site_fract_y
_atom_site_fract_z
_atom_site_occupancy
La1 La 0.000 0.000 0.000 1
Pm1 Pm 0.000 0.500 0.500 1
As1 As 0.000 0.000 0.500 1
As2 As 0.500 0.500 0.500 1
```

Output
Fermi-level density of states = 0.84 states/eV/cell
E_tot = -50.0 eV per formula unit
Total moment = 0.0 μB per formula unit